Entry from the Alexandria database: a PBEsol-optimized structure of ZrBe2Hg (SCAN).

abc: 3.062 3.909 10.089
angles: 90.00 90.00 90.00
Space group Imm2 (No. 44)
Inequivalent atoms, fractional coordinates:
Zr 0.000 0.000 0.000
Be 0.000 0.000 0.408
Be 0.000 0.500 0.758
Hg 0.000 0.500 0.230

Computed properties:
**Formation enthalpy at 0 K**: 98 meV per atom
**Volume**: 15.1 Å³ per atom
**Energy**: -26.80 eV per atom
**Density of states at the Fermi level**: 3.0 states/eV/cell